(1)
! PBE Na2HgAuO4, relaxed; values from VASP
&SYSTEM
  ibrav = 0, nat = 8, ntyp = 4
/
ATOMIC_SPECIES
Na 22.99 Na.upf
O 16.00 O.upf
Hg 200.59 Hg.upf
Au 196.97 Au.upf
ATOMIC_POSITIONS angstrom
Na 1.7148 -1.1064 2.6404
Na 0.0000 1.9068 2.6358
O 1.7148 1.2672 1.0762
O 0.0000 0.0316 4.1208
O 1.7148 2.5464 4.1954
O 0.0000 3.7820 1.1508
Hg 0.0000 0.0000 0.0000
Au 1.7148 3.0132 -0.0046
CELL_PARAMETERS angstrom
3.4297 0.0000 0.0000
0.0000 6.0264 -0.0092
0.0000 -2.2128 5.2808
! Space group   P2/m (10)
! E_form (uncorrected)   -0.61 eV per atom
! Volume   13.635 Å³ per atom
! Spin magnetization   0.000 μB per formula unit
! Crystal system   monoclinic

(2)
! PBE NaHgPbAu, relaxed; values from VASP
&SYSTEM
  ibrav = 0, nat = 4, ntyp = 4
/
ATOMIC_SPECIES
Pb 207.20 Pb.upf
Na 22.99 Na.upf
Au 196.97 Au.upf
Hg 200.59 Hg.upf
ATOMIC_POSITIONS angstrom
Pb -4.2915 -2.2056 -1.4063
Na -1.2790 -1.2743 0.4888
Au -3.4057 -3.3932 1.3017
Hg -2.1456 -0.0676 -2.2265
CELL_PARAMETERS angstrom
-2.8155 2.5495 -0.7206
-0.2021 -1.4157 -4.2192
-2.6443 -5.3119 1.9090
! Space group   Amm2 (38)
! Volume   25.516 Å³ per atom
! Spin magnetization   0.000 μB per formula unit
! DFT total energy   -2.32 eV/atom
! Crystal system   orthorhombic

(3)
! PBE Na2HgPbAu, relaxed; values from VASP
&SYSTEM
  ibrav = 0, nat = 5, ntyp = 4
/
ATOMIC_SPECIES
Na 22.99 Na.upf
Hg 200.59 Hg.upf
Au 196.97 Au.upf
Pb 207.20 Pb.upf
ATOMIC_POSITIONS angstrom
Na 2.7748 0.0000 0.0000
Na 0.0000 2.7748 0.0000
Hg 2.7748 2.7748 2.7379
Au 0.0000 0.0000 0.0000
Pb 0.0000 0.0000 2.7379
CELL_PARAMETERS angstrom
5.5495 0.0000 0.0000
0.0000 5.5495 0.0000
0.0000 0.0000 5.4757
! Space group   P4/mmm (123)
! Volume   33.728 Å³ per atom
! Spin magnetization   0.000 μB per formula unit
! DFT total energy   -2.02 eV/atom
! Crystal system   tetragonal

(4)
! PBE NaHgPbAu, relaxed; values from VASP
&SYSTEM
  ibrav = 0, nat = 4, ntyp = 4
/
ATOMIC_SPECIES
Na 22.99 Na.upf
Hg 200.59 Hg.upf
Pb 207.20 Pb.upf
Au 196.97 Au.upf
ATOMIC_POSITIONS angstrom
Na 0.0000 0.0000 0.0000
Hg -0.4068 -3.3362 8.8575
Pb -0.2712 -2.2241 5.9050
Au -0.1356 -1.1121 2.9525
CELL_PARAMETERS angstrom
-2.9551 -0.4358 4.2036
0.2772 -4.2427 2.9182
2.1355 0.2302 4.6883
! Space group   F-43m (216)
! Volume   24.243 Å³ per atom
! Spin magnetization   0.000 μB per formula unit
! DFT total energy   -2.32 eV/atom
! Crystal system   cubic

(5)
! PBE Na5Hg2Pb2Au, relaxed; values from VASP
&SYSTEM
  ibrav = 0, nat = 20, ntyp = 4
/
ATOMIC_SPECIES
Na 22.99 Na.upf
Hg 200.59 Hg.upf
Pb 207.20 Pb.upf
Au 196.97 Au.upf
ATOMIC_POSITIONS angstrom
Na -7.6432 -3.6306 7.0383
Na -5.6004 -1.6234 5.0987
Na -5.3197 2.1835 8.5049
Na -4.2579 -4.8452 -0.8989
Na -5.6046 -4.0247 2.6092
Na -3.7710 1.7588 5.0100
Na -7.6474 -6.0320 4.5488
Na -2.5961 -1.3909 -0.5823
Na -7.9280 -9.8389 1.1426
Na -10.6517 -6.2644 10.2298
Hg -2.7099 -3.6477 1.5485
Hg -6.5396 -8.8141 3.7249
Hg -7.7278 -5.4902 9.5245
Hg -3.8981 -0.3238 7.3480
Pb -7.8983 -7.8040 7.4542
Pb -4.7111 -7.2133 1.7851
Pb -2.5393 -1.3339 3.6188
Pb -5.7266 -1.9246 9.2878
Au 0.0000 0.0000 0.0000
Au -5.2188 -4.5690 5.5365
CELL_PARAMETERS angstrom
-2.8101 1.4826 -1.4254
-5.7057 -11.1729 -0.3724
-4.7319 2.0350 11.4453
! Space group   P4/mbm (127)
! Volume   27.428 Å³ per atom
! Spin magnetization   0.000 μB per formula unit
! DFT total energy   -1.95 eV/atom
! Crystal system   tetragonal

(6)
! PBE NaHgPdAu, relaxed; values from VASP
&SYSTEM
  ibrav = 0, nat = 4, ntyp = 4
/
ATOMIC_SPECIES
Na 22.99 Na.upf
Hg 200.59 Hg.upf
Au 196.97 Au.upf
Pd 106.42 Pd.upf
ATOMIC_POSITIONS angstrom
Na 0.0000 0.0000 0.0000
Hg 2.3799 1.3740 0.9716
Au 7.1397 4.1221 2.9148
Pd 4.7598 2.7481 1.9432
CELL_PARAMETERS angstrom
4.7598 0.0000 0.0000
2.3799 4.1221 0.0000
2.3799 1.3740 3.8864
! Space group   F-43m (216)
! Volume   19.063 Å³ per atom
! Spin magnetization   0.000 μB per formula unit
! DFT total energy   -2.69 eV/atom
! Crystal system   cubic

(7)
! PBE Na2Hg6PdAu, relaxed; values from VASP
&SYSTEM
  ibrav = 0, nat = 20, ntyp = 4
/
ATOMIC_SPECIES
Pd 106.42 Pd.upf
Hg 200.59 Hg.upf
Na 22.99 Na.upf
Au 196.97 Au.upf
ATOMIC_POSITIONS angstrom
Pd 0.0000 5.6635 5.1340
Pd 3.2262 3.1843 0.0000
Hg 3.2262 2.3914 2.5644
Hg 0.0000 6.4564 2.5696
Hg 3.2262 2.3914 7.7036
Hg 0.0000 6.4564 7.6983
Hg 4.8483 5.2824 0.0000
Hg 1.5442 1.0936 0.0000
Hg 4.7704 7.7542 5.1340
Hg 4.9081 1.0936 0.0000
Hg 1.6041 5.2824 0.0000
Hg 1.6221 3.5654 5.1340
Hg 1.6820 7.7542 5.1340
Hg 4.8302 3.5654 5.1340
Na 3.2262 7.6572 2.0313
Na 3.2262 7.6572 8.2366
Na 0.0000 1.1906 7.1653
Na 0.0000 1.1906 3.1027
Au 0.0000 7.6480 0.0000
Au 3.2262 1.1998 5.1340
CELL_PARAMETERS angstrom
6.4523 0.0000 0.0000
0.0000 8.8478 0.0000
0.0000 0.0000 10.2679
! Space group   Pmmn (59)
! Volume   29.309 Å³ per atom
! Spin magnetization   0.000 μB per formula unit
! DFT total energy   -1.39 eV/atom
! Crystal system   orthorhombic

(8)
! PBE Na2HgPd5Au2, relaxed; values from VASP
&SYSTEM
  ibrav = 0, nat = 20, ntyp = 4
/
ATOMIC_SPECIES
Pd 106.42 Pd.upf
Au 196.97 Au.upf
Na 22.99 Na.upf
Hg 200.59 Hg.upf
ATOMIC_POSITIONS angstrom
Pd 2.1716 6.4988 3.9893
Pd 2.1716 0.6493 7.4169
Pd 2.1716 2.7784 5.2878
Pd 2.1716 4.6386 0.0000
Pd 2.1716 7.4169 8.6279
Pd 2.1716 0.0000 4.6386
Pd 2.1716 3.9893 2.7784
Pd 2.1716 5.2878 6.4988
Pd 2.1716 8.6279 1.8602
Pd 2.1716 1.8602 0.6493
Au 0.0000 3.4849 1.1537
Au 0.0000 1.1537 5.7923
Au 0.0000 8.1234 3.4849
Au 0.0000 5.7923 8.1234
Na 0.0000 3.0395 7.6781
Na 0.0000 1.5991 3.0395
Na 0.0000 7.6781 6.2376
Na 0.0000 6.2376 1.5991
Hg 0.0000 4.6386 4.6386
Hg 0.0000 0.0000 0.0000
CELL_PARAMETERS angstrom
4.3432 0.0000 0.0000
0.0000 9.2771 0.0000
0.0000 0.0000 9.2771
! Space group   P4/mbm (127)
! Volume   18.690 Å³ per atom
! Spin magnetization   0.000 μB per formula unit
! DFT total energy   -3.67 eV/atom
! Crystal system   tetragonal

(9)
! PBE Na2HgPd2Au5, relaxed; values from VASP
&SYSTEM
  ibrav = 0, nat = 20, ntyp = 4
/
ATOMIC_SPECIES
Au 196.97 Au.upf
Na 22.99 Na.upf
Pd 106.42 Pd.upf
Hg 200.59 Hg.upf
ATOMIC_POSITIONS angstrom
Au -3.0239 -6.0619 4.5432
Au -3.4318 -3.9116 0.5650
Au -4.2037 -7.9654 2.4589
Au -2.5445 -3.4849 3.2981
Au -0.3459 -0.5552 7.8983
Au -2.4143 -1.2650 1.1969
Au -2.0051 -5.0357 7.0591
Au -0.8308 0.2850 5.1600
Au -1.5258 -2.4588 5.8140
Au -2.1353 -7.2556 9.1603
Na -0.8370 -7.9969 6.2303
Na -1.5427 -6.2276 1.6109
Na 0.9686 -3.5605 7.6536
Na 0.2629 -1.7913 3.0341
Pd -1.6594 -8.2169 3.4937
Pd -0.7944 -3.4971 1.1664
Pd 1.0853 -1.5712 5.7707
Pd 0.2203 -6.2911 8.0981
Hg -0.2871 -4.8941 4.6322
Hg 0.0000 0.0000 0.0000
CELL_PARAMETERS angstrom
-3.9755 1.2675 1.0928
-2.8881 -9.0907 0.0372
2.3140 -0.6974 9.2273
! Space group   P4/mbm (127)
! Volume   19.623 Å³ per atom
! Spin magnetization   0.000 μB per formula unit
! DFT total energy   -3.15 eV/atom
! Crystal system   tetragonal

(10)
! PBE NaPmHgAu, relaxed; values from VASP
&SYSTEM
  ibrav = 0, nat = 4, ntyp = 4
/
ATOMIC_SPECIES
Na 22.99 Na.upf
Au 196.97 Au.upf
Hg 200.59 Hg.upf
Pm 145.00 Pm.upf
ATOMIC_POSITIONS angstrom
Na -2.6984 0.1959 1.6362
Au 0.0000 0.0000 0.0000
Hg -5.3968 0.3918 3.2725
Pm -8.0952 0.5877 4.9087
CELL_PARAMETERS angstrom
-5.0967 -0.8103 -0.1618
-2.4940 -1.6068 4.2257
-3.2029 3.2007 2.4810
! Space group   F-43m (216)
! Volume   24.332 Å³ per atom
! Spin magnetization   0.000 μB per formula unit
! DFT total energy   -2.88 eV/atom
! Crystal system   cubic

(11)
! PBE NaPrHgAu, relaxed; values from VASP
&SYSTEM
  ibrav = 0, nat = 4, ntyp = 4
/
ATOMIC_SPECIES
Pr 140.91 Pr.upf
Au 196.97 Au.upf
Na 22.99 Na.upf
Hg 200.59 Hg.upf
ATOMIC_POSITIONS angstrom
Pr -5.1749 -7.9564 1.3167
Au 0.0000 0.0000 0.0000
Na -1.7250 -2.6521 0.4389
Hg -3.4499 -5.3042 0.8778
CELL_PARAMETERS angstrom
-3.4371 -3.2557 -2.1891
0.2302 -5.1093 1.0234
-3.6929 -2.2436 2.9213
! Space group   F-43m (216)
! Volume   25.084 Å³ per atom
! Spin magnetization   0.000 μB per formula unit
! DFT total energy   -2.89 eV/atom
! Crystal system   cubic

(12)
! PBE NaHgPtAu, relaxed; values from VASP
&SYSTEM
  ibrav = 0, nat = 4, ntyp = 4
/
ATOMIC_SPECIES
Pt 195.08 Pt.upf
Au 196.97 Au.upf
Na 22.99 Na.upf
Hg 200.59 Hg.upf
ATOMIC_POSITIONS angstrom
Pt 7.1146 4.1076 2.9045
Au 4.7430 2.7384 1.9363
Na 2.3715 1.3692 0.9682
Hg 0.0000 0.0000 0.0000
CELL_PARAMETERS angstrom
4.7430 0.0000 0.0000
2.3715 4.1076 0.0000
2.3715 1.3692 3.8727
! Space group   F-43m (216)
! Volume   18.862 Å³ per atom
! Spin magnetization   0.000 μB per formula unit
! DFT total energy   -2.85 eV/atom
! Crystal system   cubic

(13)
! PBE RbNaHgAu, relaxed; values from VASP
&SYSTEM
  ibrav = 0, nat = 4, ntyp = 4
/
ATOMIC_SPECIES
Rb 85.47 Rb.upf
Na 22.99 Na.upf
Au 196.97 Au.upf
Hg 200.59 Hg.upf
ATOMIC_POSITIONS angstrom
Rb -4.6241 2.5038 -4.5403
Na 0.0000 0.0000 0.0000
Au -2.3120 1.2519 -2.2702
Hg -6.9361 3.7558 -6.8105
CELL_PARAMETERS angstrom
-2.4546 4.7113 -1.9890
-1.3511 0.3910 -5.4954
-5.4424 -0.0946 -1.5963
! Space group   F-43m (216)
! Volume   32.267 Å³ per atom
! Spin magnetization   0.000 μB per formula unit
! DFT total energy   -1.65 eV/atom
! Crystal system   cubic

(14)
! PBE RbNaHg2Au, relaxed; values from VASP
&SYSTEM
  ibrav = 0, nat = 5, ntyp = 4
/
ATOMIC_SPECIES
Hg 200.59 Hg.upf
Rb 85.47 Rb.upf
Au 196.97 Au.upf
Na 22.99 Na.upf
ATOMIC_POSITIONS angstrom
Hg 0.6293 -2.7083 2.3392
Hg 0.1801 -0.0744 0.5878
Rb 1.7209 -0.7112 5.6165
Au 3.4159 -3.0117 3.3913
Na 3.0463 -0.4107 1.8997
CELL_PARAMETERS angstrom
-0.3287 -4.7606 -0.5022
4.4997 -0.1630 -1.3994
-0.0967 1.6399 7.4417
! Space group   Imm2 (44)
! Volume   30.943 Å³ per atom
! Spin magnetization   0.000 μB per formula unit
! DFT total energy   -1.48 eV/atom
! Crystal system   orthorhombic

(15)
! PBE Rb2Na5Hg2Au, relaxed; values from VASP
&SYSTEM
  ibrav = 0, nat = 20, ntyp = 4
/
ATOMIC_SPECIES
Hg 200.59 Hg.upf
Rb 85.47 Rb.upf
Au 196.97 Au.upf
Na 22.99 Na.upf
ATOMIC_POSITIONS angstrom
Hg 0.0000 8.1752 11.2801
Hg 0.0000 1.6901 8.1752
Hg 0.0000 4.7950 1.6901
Hg 0.0000 11.2801 4.7950
Rb 0.0000 8.7396 2.2545
Rb 0.0000 4.2306 10.7157
Rb 0.0000 10.7157 8.7396
Rb 0.0000 2.2545 4.2306
Au 0.0000 6.4851 6.4851
Au 0.0000 0.0000 0.0000
Na 2.0615 12.2478 2.3092
Na 2.0615 7.2075 8.7943
Na 2.0615 8.7943 5.7627
Na 2.0615 10.6610 12.2478
Na 2.0615 0.0000 6.4851
Na 2.0615 5.7627 4.1759
Na 2.0615 0.7224 10.6610
Na 2.0615 6.4851 0.0000
Na 2.0615 2.3092 0.7224
Na 2.0615 4.1759 7.2075
CELL_PARAMETERS angstrom
4.1230 0.0000 0.0000
0.0000 12.9702 0.0000
0.0000 0.0000 12.9702
! Space group   P4/mbm (127)
! Volume   34.679 Å³ per atom
! Spin magnetization   0.000 μB per formula unit
! DFT total energy   -1.36 eV/atom
! Crystal system   tetragonal

(16)
! PBE Rb2Na6HgAu, relaxed; values from VASP
&SYSTEM
  ibrav = 0, nat = 10, ntyp = 4
/
ATOMIC_SPECIES
Na 22.99 Na.upf
Hg 200.59 Hg.upf
Au 196.97 Au.upf
Rb 85.47 Rb.upf
ATOMIC_POSITIONS angstrom
Na 2.1478 2.1476 0.0000
Na 4.2084 4.2079 2.9140
Na 6.2689 2.1473 0.0000
Na 8.4169 8.4159 3.0373
Na 10.4774 10.4762 5.9514
Na 2.1480 6.2686 0.0000
Hg 0.0000 0.0000 0.0000
Au 4.2084 4.2079 0.0000
Rb 8.4166 4.2077 2.9757
Rb 4.2087 8.4161 2.9757
CELL_PARAMETERS angstrom
8.4164 -0.0005 0.0000
0.0005 8.4164 0.0000
4.2084 4.2079 5.9513
! Space group   Fm-3m (225)
! Volume   42.157 Å³ per atom
! Spin magnetization   0.000 μB per formula unit
! DFT total energy   -1.44 eV/atom
! Crystal system   cubic

(17)
! PBE RbNa2HgAu, relaxed; values from VASP
&SYSTEM
  ibrav = 0, nat = 5, ntyp = 4
/
ATOMIC_SPECIES
Na 22.99 Na.upf
Rb 85.47 Rb.upf
Hg 200.59 Hg.upf
Au 196.97 Au.upf
ATOMIC_POSITIONS angstrom
Na -1.0476 -2.5619 -0.6500
Na -0.3638 -0.5528 2.7650
Rb -3.0169 1.2699 -0.1430
Hg -4.4282 -1.8448 1.9720
Au 0.0000 0.0000 0.0000
CELL_PARAMETERS angstrom
-2.0951 -5.1238 -1.3000
-0.7276 -1.1056 5.5300
-6.0338 2.5398 -0.2860
! Space group   P4/mmm (123)
! Volume   42.374 Å³ per atom
! Spin magnetization   0.000 μB per formula unit
! DFT total energy   -1.53 eV/atom
! Crystal system   tetragonal

(18)
! PBE RbNa3HgAu, relaxed; values from VASP
&SYSTEM
  ibrav = 0, nat = 12, ntyp = 4
/
ATOMIC_SPECIES
Hg 200.59 Hg.upf
Au 196.97 Au.upf
Rb 85.47 Rb.upf
Na 22.99 Na.upf
ATOMIC_POSITIONS angstrom
Hg -3.1753 1.9494 4.3928
Hg -2.7718 -4.1636 4.8692
Au -4.3751 -2.8499 1.2315
Au -1.5721 0.6357 8.0305
Rb -0.4731 -1.2201 5.4816
Rb -5.4740 -0.9941 3.7804
Na 1.2017 -1.2331 1.4159
Na 3.0047 -3.0831 3.5402
Na 0.2627 -5.2780 3.9560
Na -2.0800 0.0998 1.8523
Na -3.8672 -2.3139 7.4097
Na -1.5403 -3.4280 1.8317
CELL_PARAMETERS angstrom
-5.4841 -4.3898 0.8316
4.2065 -4.3162 4.9561
-4.6696 6.4918 3.4743
! Space group   Cmcm (63)
! Volume   35.864 Å³ per atom
! Spin magnetization   0.000 μB per formula unit
! DFT total energy   -1.56 eV/atom
! Crystal system   orthorhombic

(19)
! PBE Rb2NaHg12Au3, relaxed; values from VASP
&SYSTEM
  ibrav = 0, nat = 18, ntyp = 4
/
ATOMIC_SPECIES
Au 196.97 Au.upf
Hg 200.59 Hg.upf
Na 22.99 Na.upf
Rb 85.47 Rb.upf
ATOMIC_POSITIONS angstrom
Au -4.5449 -1.0064 -0.8071
Au -0.8870 -1.5546 -4.3722
Au -0.9391 -4.6232 -0.2526
Hg -2.5572 -8.2771 -6.1977
Hg -10.1663 -10.9079 -5.0404
Hg -7.3472 -7.5591 -1.5292
Hg -5.3947 -6.8094 -9.3347
Hg -7.2790 -3.5408 -6.9239
Hg -5.4630 -10.8277 -3.9400
Hg -2.5756 -3.4606 -5.8235
Hg -2.6279 -6.5390 -1.6907
Hg -6.4968 -11.4579 -8.6169
Hg -10.1847 -6.0914 -4.6662
Hg -6.2451 -2.9106 -2.2470
Hg -10.1140 -7.8295 -9.1732
Na 0.0000 0.0000 0.0000
Rb -5.0266 -5.6682 -4.2857
Rb -7.7154 -8.7003 -6.5782
CELL_PARAMETERS angstrom
-9.0897 -2.0128 -1.6143
-1.7740 -3.1093 -8.7444
-1.8783 -9.2465 -0.5052
! Space group   R-3m (166)
! Volume   37.354 Å³ per atom
! Spin magnetization   0.000 μB per formula unit
! DFT total energy   -0.98 eV/atom
! Crystal system   trigonal

(20)
! PBE RbNaHg2Au, relaxed; values from VASP
&SYSTEM
  ibrav = 0, nat = 5, ntyp = 4
/
ATOMIC_SPECIES
Rb 85.47 Rb.upf
Hg 200.59 Hg.upf
Au 196.97 Au.upf
Na 22.99 Na.upf
ATOMIC_POSITIONS angstrom
Rb 2.7480 2.7480 2.8168
Hg 2.7480 0.0000 0.0000
Hg 0.0000 2.7480 0.0000
Au 0.0000 0.0000 0.0000
Na 0.0000 0.0000 2.8168
CELL_PARAMETERS angstrom
5.4959 0.0000 0.0000
0.0000 5.4959 0.0000
0.0000 0.0000 5.6336
! Space group   P4/mmm (123)
! Volume   34.033 Å³ per atom
! Spin magnetization   0.000 μB per formula unit
! DFT total energy   -1.43 eV/atom
! Crystal system   tetragonal